Record 1
{"formula": "CuHg2W", "functional": "PBE", "state": "relaxed", "final_energy_ev_per_fu": -14.33, "crystal_system": "orthorhombic", "ef_kj_per_mol_atoms": 80.1, "spacegroup": "No. 47", "volume_a3_per_cell": 71.7, "de_polymorph_mev_per_atom": 320, "lattice_angstrom": [[-2.4125, 1.5070, -1.3345], [-2.9637, -1.8079, 3.3162], [0.8143, 3.7661, 2.7809]], "species": ["Cu", "Hg", "Hg", "W"], "frac_coords": [[0.0000, 0.5000, 0.5000], [0.0000, 0.0000, 0.0000], [0.5000, 0.5000, 0.0000], [0.5000, 0.0000, 0.5000]]}

Record 2
{"formula": "Hf3HgC", "functional": "PBE", "state": "relaxed", "final_energy_ev_per_fu": -39.52, "crystal_system": "monoclinic", "ef_kj_per_mol_atoms": -2.5, "spacegroup": "No. 11", "volume_a3_per_cell": 399.8, "de_polymorph_mev_per_atom": 482, "lattice_angstrom": [[24.0327, 0.0000, -0.5591], [0.0000, 7.3275, 0.0000], [-8.2734, 0.0000, 2.4625]], "species": ["C", "C", "C", "C", "Hf", "Hf", "Hf", "Hf", "Hf", "Hf", "Hf", "Hf", "Hf", "Hf", "Hf", "Hf", "Hg", "Hg", "Hg", "Hg"], "frac_coords": [[0.0622, 0.2500, 0.5594], [0.9378, 0.7500, 0.4406], [0.4378, 0.7500, 0.9406], [0.5622, 0.2500, 0.0594], [0.1368, 0.0156, 0.6360], [0.8632, 0.9844, 0.3640], [0.3632, 0.5156, 0.8640], [0.6368, 0.4844, 0.1360], [0.2350, 0.2500, 0.2354], [0.7650, 0.7500, 0.7646], [0.2650, 0.7500, 0.2646], [0.7350, 0.2500, 0.7354], [0.3632, 0.9844, 0.8639], [0.6368, 0.0156, 0.1361], [0.1368, 0.4844, 0.6361], [0.8632, 0.5156, 0.3639], [0.4833, 0.7500, 0.4834], [0.5167, 0.2500, 0.5166], [0.0167, 0.2500, 0.0166], [0.9833, 0.7500, 0.9834]]}

Record 3
{"formula": "AcIn3Pt3", "functional": "PBE", "state": "relaxed", "final_energy_ev_per_fu": -35.10, "crystal_system": "hexagonal", "ef_kj_per_mol_atoms": -64.2, "spacegroup": "No. 176", "volume_a3_per_cell": 339.4, "de_polymorph_mev_per_atom": 0, "lattice_angstrom": [[4.4908, 0.0000, 0.0000], [0.0000, 8.1129, -4.6315], [0.0000, -0.0448, 9.3421]], "species": ["Ac", "Ac", "In", "In", "In", "In", "In", "In", "Pt", "Pt", "Pt", "Pt", "Pt", "Pt"], "frac_coords": [[0.7500, 0.3333, 0.6667], [0.2500, 0.6667, 0.3333], [0.7500, 0.7543, 0.0524], [0.7500, 0.2981, 0.2457], [0.7500, 0.9476, 0.7019], [0.2500, 0.2457, 0.9476], [0.2500, 0.7019, 0.7543], [0.2500, 0.0524, 0.2981], [0.7500, 0.9482, 0.3878], [0.7500, 0.4396, 0.0518], [0.7500, 0.6121, 0.5604], [0.2500, 0.0518, 0.6122], [0.2500, 0.5604, 0.9482], [0.2500, 0.3879, 0.4396]]}